VASP calculation (PBE) on an optimized crystal structure of ZnNiTe.

Lattice parameters (Å, degrees): 4.1141 4.1124 8.7808 76.58 89.93 60.04
With the nearest neighbours (Å) after each atom.
Atoms (fractional coordinates):
Zn 0.8678 0.8243 0.1469  4 Ni 2.57-2.64, 3 Te 2.75, 3 Zn 2.86
Zn 0.1395 0.2819 0.9587  6 Ni 2.42-2.57
Ni 0.4901 0.5808 0.0114  6 Zn 2.42-2.64, 2 Te 2.51-2.53
Ni 0.7689 0.0242 0.8431  4 Zn 2.57, 3 Te 2.61, 3 Ni 2.77
Te 0.3931 0.7760 0.7145  4 Ni 2.51-2.61
Te 0.5878 0.3829 0.3107  1 Ni 2.53, 3 Zn 2.75

Properties
Its space group is P1, No. 1. For the density, the calculation gives 6.74 g/cm³. The energy relative to the elements, uncorrected is -25 kJ/mol of atoms. Its size of the total moment is 0.00 μB/cell. As for the density of states at the Fermi level: 3.6 states/eV per cell. The value obtained for the energy above the lowest structure with this stoichiometry is 0.000 eV/atom.